1.
Entry from Alexandria: a crystal of AlIn2Co relaxed with PBEsol (SCAN).

Properties
crystal system = tetragonal
electronic total energy = -22.93 eV/atom
space group = No. 99

a b c (Å): 2.926 2.926 8.299
angles (deg): 90.00 90.00 90.00
Sites, in units of the cell vectors:
Al (0.000, 0.000, 0.000)
In (0.000, 0.000, 0.368)
In (0.500, 0.500, 0.706)
Co (0.500, 0.500, 0.154)



2.
Entry from Alexandria: a crystal of AlCo2Ir relaxed with PBEsol (SCAN).

Properties
crystal system = orthorhombic
electronic total energy = -28.73 eV/atom
space group = No. 44

a b c (Å): 4.783 4.783 4.783
angles (deg): 145.26 128.64 63.51
Sites, in units of the cell vectors:
Al (0.000, 0.000, 0.000)
Co (0.239, 0.739, 0.500)
Co (0.482, 0.482, 0.000)
Ir (0.746, 0.246, 0.500)



3.
Entry from Alexandria: a crystal of AlCoIr2 relaxed with PBEsol (SCAN).

Properties
crystal system = cubic
electronic total energy = -42.07 eV/atom
space group = No. 216

a b c (Å): 4.234 4.234 4.234
angles (deg): 60.00 60.00 60.00
Sites, in units of the cell vectors:
Al (0.000, 0.000, 0.000)
Co (0.250, 0.250, 0.250)
Ir (0.500, 0.500, 0.500)
Ir (0.750, 0.750, 0.750)



4.
Entry from Alexandria: a crystal of AlCoIr2 relaxed with PBEsol (SCAN).

Properties
crystal system = orthorhombic
electronic total energy = -41.84 eV/atom
space group = No. 35

a b c (Å): 2.678 2.678 8.506
angles (deg): 90.00 90.00 118.89
Sites, in units of the cell vectors:
Al (0.000, 0.000, 0.000)
Co (0.500, 0.500, 0.228)
Ir (0.000, 0.000, 0.474)
Ir (0.500, 0.500, 0.754)



5.
Entry from Alexandria: a crystal of AlCo2Ir relaxed with PBEsol (SCAN).

Properties
crystal system = trigonal
electronic total energy = -28.52 eV/atom
space group = No. 160

a b c (Å): 8.131 8.131 8.131
angles (deg): 18.88 18.88 18.88
Sites, in units of the cell vectors:
Al (0.000, 0.000, 0.000)
Co (0.252, 0.252, 0.252)
Co (0.508, 0.508, 0.508)
Ir (0.754, 0.754, 0.754)



6.
Entry from Alexandria: a crystal of Rb2AlCoIr relaxed with PBEsol (SCAN).

Properties
crystal system = tetragonal
electronic total energy = -26.48 eV/atom
space group = No. 123

a b c (Å): 6.446 6.446 4.563
angles (deg): 90.00 90.00 90.00
Sites, in units of the cell vectors:
Rb (0.000, 0.500, 0.000)
Rb (0.500, 0.000, 0.000)
Al (0.000, 0.000, 0.000)
Co (0.500, 0.500, 0.500)
Ir (0.000, 0.000, 0.500)



7.
Entry from Alexandria: a crystal of K4AlCo relaxed with PBEsol (SCAN).

Properties
crystal system = cubic
electronic total energy = -8.74 eV/atom
space group = No. 216

a b c (Å): 6.803 6.803 6.803
angles (deg): 60.00 60.00 60.00
Sites, in units of the cell vectors:
K (0.125, 0.125, 0.125)
K (0.125, 0.125, 0.625)
K (0.125, 0.625, 0.125)
K (0.625, 0.125, 0.125)
Al (0.500, 0.500, 0.500)
Co (0.750, 0.750, 0.750)



8.
Entry from Alexandria: a crystal of KAlCo relaxed with PBEsol (SCAN).

Properties
crystal system = cubic
electronic total energy = -10.08 eV/atom
space group = No. 216

a b c (Å): 4.509 4.509 4.509
angles (deg): 60.00 60.00 60.00
Sites, in units of the cell vectors:
K (0.000, 0.000, 0.000)
Al (0.500, 0.500, 0.500)
Co (0.750, 0.750, 0.750)



9.
Entry from Alexandria: a crystal of K2AlCo relaxed with PBEsol (SCAN).

Properties
crystal system = orthorhombic
electronic total energy = -9.50 eV/atom
space group = No. 47

a b c (Å): 3.029 5.530 5.807
angles (deg): 90.00 90.00 90.00
Sites, in units of the cell vectors:
K (0.000, 0.000, 0.243)
K (0.000, 0.000, 0.757)
Al (0.500, 0.500, 0.500)
Co (0.500, 0.500, 0.000)



10.
Entry from Alexandria: a crystal of KAlCoP2O8 relaxed with PBEsol (SCAN).

Properties
crystal system = monoclinic
electronic total energy = -10.54 eV/atom
space group = No. 9
E_form (uncorrected) = -2.535 eV per atom

a b c (Å): 9.351 9.351 8.711
angles (deg): 97.28 97.28 89.08
Sites, in units of the cell vectors:
K (0.100, 0.627, 0.934)
K (0.232, 0.768, 0.500)
K (0.627, 0.100, 0.434)
K (0.768, 0.232, 0.000)
Al (0.240, 0.986, 0.174)
Al (0.494, 0.618, 0.833)
Al (0.618, 0.494, 0.333)
Al (0.986, 0.240, 0.674)
Co (0.149, 0.388, 0.270)
Co (0.388, 0.149, 0.770)
Co (0.749, 0.881, 0.096)
Co (0.881, 0.749, 0.596)
P (0.107, 0.981, 0.810)
P (0.260, 0.411, 0.635)
P (0.411, 0.260, 0.135)
P (0.474, 0.748, 0.190)
P (0.621, 0.900, 0.735)
P (0.748, 0.474, 0.690)
P (0.900, 0.621, 0.235)
P (0.981, 0.107, 0.310)
O (0.012, 0.234, 0.225)
O (0.030, 0.534, 0.186)
O (0.043, 0.835, 0.736)
O (0.109, 0.998, 0.304)
O (0.126, 0.367, 0.710)
O (0.156, 0.966, 0.984)
O (0.214, 0.469, 0.480)
O (0.234, 0.012, 0.725)
O (0.286, 0.366, 0.122)
O (0.324, 0.820, 0.211)
O (0.327, 0.542, 0.749)
O (0.366, 0.286, 0.622)
O (0.367, 0.126, 0.210)
O (0.465, 0.660, 0.028)
O (0.469, 0.214, 0.980)
O (0.498, 0.640, 0.313)
O (0.515, 0.773, 0.746)
O (0.534, 0.030, 0.686)
O (0.542, 0.327, 0.249)
O (0.588, 0.865, 0.215)
O (0.640, 0.498, 0.813)
O (0.660, 0.465, 0.528)
O (0.710, 0.856, 0.600)
O (0.714, 0.939, 0.893)
O (0.773, 0.515, 0.246)
O (0.820, 0.324, 0.711)
O (0.835, 0.043, 0.236)
O (0.856, 0.710, 0.100)
O (0.865, 0.588, 0.715)
O (0.939, 0.714, 0.393)
O (0.966, 0.156, 0.484)
O (0.998, 0.109, 0.804)



11.
Entry from Alexandria: a crystal of LaAl4Co relaxed with PBEsol (SCAN).

Properties
crystal system = orthorhombic
electronic total energy = -15.76 eV/atom
space group = No. 51

a b c (Å): 7.626 4.027 6.923
angles (deg): 90.00 90.00 90.00
Sites, in units of the cell vectors:
La (0.250, 0.000, 0.112)
La (0.750, 0.000, 0.888)
Al (0.000, 0.000, 0.500)
Al (0.070, 0.500, 0.792)
Al (0.250, 0.500, 0.456)
Al (0.430, 0.500, 0.792)
Al (0.500, 0.000, 0.500)
Al (0.570, 0.500, 0.208)
Al (0.750, 0.500, 0.544)
Al (0.930, 0.500, 0.208)
Co (0.250, 0.000, 0.684)
Co (0.750, 0.000, 0.316)



12.
Entry from Alexandria: a crystal of La3Al3Co2 relaxed with PBEsol (SCAN).

Properties
crystal system = monoclinic
electronic total energy = -23.76 eV/atom
space group = No. 12

a b c (Å): 8.262 8.262 4.905
angles (deg): 98.75 98.75 31.18
Sites, in units of the cell vectors:
La (0.000, 0.000, 0.000)
La (0.166, 0.166, 0.562)
La (0.834, 0.834, 0.438)
Al (0.355, 0.355, 0.963)
Al (0.500, 0.500, 0.500)
Al (0.645, 0.645, 0.037)
Co (0.210, 0.210, 0.079)
Co (0.790, 0.790, 0.921)



13.
Entry from Alexandria: a crystal of LaAl2CoSn relaxed with PBEsol (SCAN).

Properties
crystal system = tetragonal
electronic total energy = -22.66 eV/atom
space group = No. 123

a b c (Å): 4.645 4.645 4.966
angles (deg): 90.00 90.00 90.00
Sites, in units of the cell vectors:
La (0.000, 0.000, 0.000)
Al (0.000, 0.500, 0.500)
Al (0.500, 0.000, 0.500)
Co (0.000, 0.000, 0.500)
Sn (0.500, 0.500, 0.000)



14.
Entry from Alexandria: a crystal of LiAlCo relaxed with PBEsol (SCAN).

Properties
crystal system = orthorhombic
electronic total energy = -9.30 eV/atom
space group = No. 44

a b c (Å): 4.446 4.446 4.446
angles (deg): 146.14 131.80 60.21
Sites, in units of the cell vectors:
Li (0.000, 0.000, 0.000)
Al (0.681, 0.681, 0.000)
Co (0.327, 0.327, 0.000)



15.
Entry from Alexandria: a crystal of LiAl2Co relaxed with PBEsol (SCAN).

Properties
crystal system = tetragonal
electronic total energy = -9.10 eV/atom
space group = No. 123

a b c (Å): 4.127 4.127 2.865
angles (deg): 90.00 90.00 90.00
Sites, in units of the cell vectors:
Li (0.000, 0.000, 0.000)
Al (0.000, 0.500, 0.500)
Al (0.500, 0.000, 0.500)
Co (0.500, 0.500, 0.000)



16.
Entry from Alexandria: a crystal of Li2AlCo relaxed with PBEsol (SCAN).

Properties
crystal system = monoclinic
electronic total energy = -7.50 eV/atom
space group = No. 10

a b c (Å): 2.632 4.531 4.263
angles (deg): 90.00 94.11 90.00
Sites, in units of the cell vectors:
Li (0.235, 0.000, 0.267)
Li (0.765, 0.000, 0.733)
Al (0.500, 0.500, 0.000)
Co (0.000, 0.500, 0.500)



17.
Entry from Alexandria: a crystal of LiAlCo relaxed with PBEsol (SCAN).

Properties
crystal system = tetragonal
electronic total energy = -9.24 eV/atom
space group = No. 107

a b c (Å): 4.686 4.686 4.686
angles (deg): 143.81 143.81 52.11
Sites, in units of the cell vectors:
Li (0.000, 0.000, 0.000)
Al (0.307, 0.307, 0.000)
Co (0.660, 0.660, 0.000)



18.
Entry from Alexandria: a crystal of Li2AlCo relaxed with PBEsol (SCAN).

Properties
crystal system = trigonal
electronic total energy = -7.34 eV/atom
space group = No. 166

a b c (Å): 9.143 9.143 9.143
angles (deg): 16.45 16.45 16.45
Sites, in units of the cell vectors:
Li (0.244, 0.244, 0.244)
Li (0.756, 0.756, 0.756)
Al (0.000, 0.000, 0.000)
Co (0.500, 0.500, 0.500)



19.
Entry from Alexandria: a crystal of LiAl2Co relaxed with PBEsol (SCAN).

Properties
crystal system = tetragonal
electronic total energy = -9.18 eV/atom
space group = No. 123

a b c (Å): 2.886 2.886 6.226
angles (deg): 90.00 90.00 90.00
Sites, in units of the cell vectors:
Li (0.000, 0.000, 0.000)
Al (0.500, 0.500, 0.281)
Al (0.500, 0.500, 0.719)
Co (0.000, 0.000, 0.500)



20.
Entry from Alexandria: a crystal of Li2AlCo relaxed with PBEsol (SCAN).

Properties
crystal system = tetragonal
electronic total energy = -7.50 eV/atom
space group = No. 123

a b c (Å): 3.426 3.426 4.321
angles (deg): 90.00 90.00 90.00
Sites, in units of the cell vectors:
Li (0.000, 0.500, 0.000)
Li (0.500, 0.000, 0.000)
Al (0.000, 0.000, 0.500)
Co (0.500, 0.500, 0.500)



Fermi-level density of states, respectively: 2.022, 2.701, 3.041, 3.398, 3.649, 6.550, 5.259, 0.527, 2.196, 0.000, 2.264, 3.931, 3.088, 0.824, 1.458, 1.621, 1.071, 1.525, 0.994, 1.079 states/eV per cell.